TaBe2Ni | Alexandria | PBE-GGA | relaxed; ΔH_f (0 K) = -0.17 eV per atom; polymorph energy (0 for the lowest one) = 0.203 eV per formula unit
1.0
6.184 0.000 0.000
0.000 3.558 0.000
-2.056 0.000 4.099
Ta Be Ni
2 4 2
direct
0.000 0.000 0.000
0.500 0.500 0.000
0.210 0.000 0.629
0.290 0.500 0.371
0.710 0.500 0.629
0.790 0.000 0.371
0.000 0.500 0.500
0.500 0.000 0.500

Ta2BeNi9 | Alexandria | PBE-GGA | relaxed; ΔH_f (0 K) = -0.30 eV per atom
1.0
3.642 0.000 0.000
0.000 3.642 0.000
0.000 0.000 10.525
Ta Be Ni
2 1 9
direct
0.000 0.000 0.180
0.000 0.000 0.820
0.000 0.000 0.500
0.000 0.500 0.000
0.000 0.500 0.348
0.000 0.500 0.652
0.500 0.000 0.000
0.500 0.000 0.348
0.500 0.000 0.652
0.500 0.500 0.172
0.500 0.500 0.500
0.500 0.500 0.828

TaBe2Ni | Alexandria | PBE-GGA | relaxed; ΔH_f (0 K) = 0.10 eV per atom; polymorph energy (0 for the lowest one) = 1.272 eV per formula unit
1.0
2.604 0.000 0.000
0.000 4.460 0.000
0.000 0.000 8.369
Ta Be Ni
2 4 2
direct
0.000 0.000 0.000
0.500 0.500 0.500
0.000 0.500 0.224
0.000 0.500 0.776
0.500 0.000 0.276
0.500 0.000 0.724
0.000 0.000 0.500
0.500 0.500 0.000

TaBe2Ni | Alexandria | PBE-GGA | relaxed; ΔH_f (0 K) = -0.02 eV per atom; polymorph energy (0 for the lowest one) = 0.795 eV per formula unit
1.0
5.634 0.000 0.000
0.000 5.634 0.000
0.000 0.000 5.634
Ta Be Ni
4 8 4
direct
0.000 0.000 0.000
0.000 0.500 0.500
0.500 0.000 0.500
0.500 0.500 0.000
0.250 0.250 0.250
0.250 0.250 0.750
0.250 0.750 0.250
0.250 0.750 0.750
0.750 0.250 0.250
0.750 0.250 0.750
0.750 0.750 0.250
0.750 0.750 0.750
0.000 0.000 0.500
0.000 0.500 0.000
0.500 0.000 0.000
0.500 0.500 0.500

TaBe2Ni2 | Alexandria | PBE-GGA | relaxed; ΔH_f (0 K) = -0.09 eV per atom; polymorph energy (0 for the lowest one) = 0.849 eV per formula unit
1.0
3.678 0.000 0.000
0.000 3.678 0.000
0.000 0.000 8.334
Ta Be Ni
2 4 4
direct
0.000 0.000 0.000
0.500 0.500 0.500
0.000 0.500 0.250
0.000 0.500 0.750
0.500 0.000 0.250
0.500 0.000 0.750
0.000 0.000 0.368
0.000 0.000 0.632
0.500 0.500 0.132
0.500 0.500 0.868

TaBe4Ni5 | Alexandria | PBE-GGA | relaxed; ΔH_f (0 K) = -0.41 eV per atom
1.0
2.653 0.000 0.000
0.000 2.653 0.000
0.000 0.000 14.248
Ta Be Ni
1 4 5
direct
0.000 0.000 0.000
0.000 0.000 0.227
0.000 0.000 0.410
0.000 0.000 0.590
0.000 0.000 0.773
0.500 0.500 0.138
0.500 0.500 0.319
0.500 0.500 0.500
0.500 0.500 0.681
0.500 0.500 0.862

Ta2Be9Ni | Alexandria | PBE-GGA | relaxed; ΔH_f (0 K) = -0.08 eV per atom
1.0
4.507 0.000 0.000
-2.253 3.903 0.000
0.000 0.000 13.954
Ta Be Ni
4 18 2
direct
0.333 0.667 0.034
0.333 0.667 0.466
0.667 0.333 0.534
0.667 0.333 0.966
0.000 0.000 0.000
0.000 0.000 0.250
0.000 0.000 0.500
0.000 0.000 0.750
0.167 0.334 0.626
0.167 0.334 0.874
0.167 0.833 0.626
0.167 0.833 0.874
0.333 0.667 0.750
0.334 0.167 0.126
0.334 0.167 0.374
0.666 0.833 0.626
0.666 0.833 0.874
0.667 0.333 0.250
0.833 0.167 0.126
0.833 0.167 0.374
0.833 0.666 0.126
0.833 0.666 0.374
0.333 0.667 0.250
0.667 0.333 0.750

TaBeNi | Alexandria | PBE-GGA | relaxed; ΔH_f (0 K) = 0.11 eV per atom; polymorph energy (0 for the lowest one) = 1.383 eV per formula unit
1.0
5.548 0.000 0.000
0.000 5.548 0.000
0.000 0.000 5.548
Ta Be Ni
4 4 4
direct
0.000 0.000 0.000
0.000 0.500 0.500
0.500 0.000 0.500
0.500 0.500 0.000
0.000 0.000 0.500
0.000 0.500 0.000
0.500 0.000 0.000
0.500 0.500 0.500
0.250 0.250 0.750
0.250 0.750 0.250
0.750 0.250 0.250
0.750 0.750 0.750

TaBe2Ni | Alexandria | PBE-GGA | relaxed; ΔH_f (0 K) = -0.22 eV per atom; polymorph energy (0 for the lowest one) = 0.000 eV per formula unit
1.0
2.756 0.000 0.000
0.000 2.756 0.000
0.000 0.000 5.911
Ta Be Ni
1 2 1
direct
0.000 0.000 0.000
0.500 0.500 0.303
0.500 0.500 0.697
0.000 0.000 0.500

TaBe2Ni | Alexandria | PBE-GGA | relaxed; ΔH_f (0 K) = -0.02 eV per atom; polymorph energy (0 for the lowest one) = 0.808 eV per formula unit
1.0
3.627 0.000 0.000
0.000 3.627 0.000
0.000 0.000 3.575
Ta Be Ni
1 2 1
direct
0.000 0.000 0.000
0.000 0.500 0.500
0.500 0.000 0.500
0.500 0.500 0.000

Ta2BeNi3 | Alexandria | PBE-GGA | relaxed; ΔH_f (0 K) = -0.30 eV per atom
1.0
4.810 0.000 0.000
-2.405 4.165 0.000
0.000 0.000 7.508
Ta Be Ni
4 2 6
direct
0.333 0.667 0.053
0.333 0.667 0.447
0.667 0.333 0.553
0.667 0.333 0.947
0.000 0.000 0.000
0.000 0.000 0.500
0.167 0.334 0.750
0.167 0.833 0.750
0.334 0.167 0.250
0.666 0.833 0.750
0.833 0.167 0.250
0.833 0.666 0.250

TaBeNi | Alexandria | PBE-GGA | relaxed; ΔH_f (0 K) = -0.19 eV per atom; polymorph energy (0 for the lowest one) = 0.482 eV per formula unit
1.0
2.777 0.000 0.000
0.000 2.777 0.000
0.000 0.000 9.537
Ta Be Ni
2 2 2
direct
0.000 0.000 0.000
0.500 0.500 0.500
0.000 0.000 0.685
0.500 0.500 0.185
0.000 0.000 0.303
0.500 0.500 0.803